## Mn2VAu (PBE-GGA)

Data for Mn2VAu after structural relaxation.

Results
The calculation puts the formation energy at 0.025 eV per atom.

a = 4.380 Å, b = 4.380 Å, c = 4.380 Å
α = 60.00°, β = 60.00°, γ = 60.00°
Positions (direct):
Mn: 0.250 0.250 0.250
Mn: 0.750 0.750 0.750
V: 0.000 0.000 0.000
Au: 0.500 0.500 0.500


## PuPtS2 (PBE-GGA)

Data for PuPtS2 after structural relaxation.

Results
For the energy relative to the elements, uncorrected, the calculation gives -246 meV/atom.

a = 8.345 Å, b = 8.345 Å, c = 8.345 Å
α = 24.93°, β = 24.93°, γ = 24.93°
Positions (direct):
Pu: 0.000 0.000 0.000
Pt: 0.500 0.500 0.500
S: 0.114 0.114 0.114
S: 0.886 0.886 0.886


## TaTiRh (PBE-GGA)

Data for TaTiRh after structural relaxation.

Results
The calculation puts the formation energy at -0.480 eV per atom.

a = 6.870 Å, b = 6.870 Å, c = 4.445 Å
α = 90.00°, β = 90.00°, γ = 152.50°
Positions (direct):
Ta: 0.247 0.753 0.750
Ta: 0.753 0.247 0.250
Ti: 0.079 0.921 0.250
Ti: 0.921 0.079 0.750
Rh: 0.421 0.579 0.250
Rh: 0.579 0.421 0.750


Results for total magnetization: 4.84; 6.65; 0.00 (in μB/f.u., following the order of the records).